This record from Alexandria via LeMat-Bulk describes FeAsRh at its PBEsol-relaxed geometry. The functional is meta-GGA SCAN.

Properties
**Energy relative to the elements**: -138 meV per atom

Cell lengths 2.854, 3.754, 7.484 Å; angles 90.00, 90.00, 90.00 degrees
Space group Imm2 (No. 44)
Inequivalent atoms, fractional coordinates:
Fe  0.000  0.000  0.000 (multiplicity 2)
As  0.000  0.000  0.324 (multiplicity 2)
Rh  0.000  0.000  0.656 (multiplicity 2)


This record from Alexandria via LeMat-Bulk describes FeAsRh at its PBEsol-relaxed geometry. The functional is meta-GGA SCAN.

Properties
**Energy relative to the elements**: -128 meV per atom

Cell lengths 4.0176, 4.0176, 2.8229 Å; angles 90.00, 90.00, 120.00 degrees
Space group P3m1 (No. 156)
Inequivalent atoms, fractional coordinates:
Fe  0.0000  0.0000  0.0000 (multiplicity 1)
As  0.6667  0.3333  0.1745 (multiplicity 1)
Rh  0.3333  0.6667  0.5067 (multiplicity 1)


This record from Alexandria via LeMat-Bulk describes FeAsRu2 at its PBEsol-relaxed geometry. The functional is meta-GGA SCAN.

Properties
**Energy relative to the elements**: 208 meV per atom

Cell lengths 2.835, 4.220, 4.417 Å; angles 90.00, 90.00, 90.00 degrees
Space group Pmmm (No. 47)
Inequivalent atoms, fractional coordinates:
Fe  0.000  0.000  0.000 (multiplicity 1)
As  0.500  0.000  0.500 (multiplicity 1)
Ru  0.000  0.500  0.500 (multiplicity 1)
Ru  0.500  0.500  0.000 (multiplicity 1)


This record from Alexandria via LeMat-Bulk describes FeAs4Ru at its PBEsol-relaxed geometry. The functional is meta-GGA SCAN.

Properties
**Energy relative to the elements**: 906 meV per atom

Cell lengths 7.416, 7.416, 7.416 Å; angles 90.00, 90.00, 90.00 degrees
Space group F-43m (No. 216)
Inequivalent atoms, fractional coordinates:
Fe  0.000  0.000  0.000 (multiplicity 4)
As  0.125  0.125  0.375 (multiplicity 16)
Ru  0.250  0.250  0.750 (multiplicity 4)


This record from Alexandria via LeMat-Bulk describes Fe2SnAsRu at its PBEsol-relaxed geometry. The functional is meta-GGA SCAN.

Properties
**Energy relative to the elements**: 583 meV per atom

Cell lengths 4.308, 4.308, 4.573 Å; angles 90.00, 90.00, 90.00 degrees
Space group P4/mmm (No. 123)
Inequivalent atoms, fractional coordinates:
Fe  0.000  0.500  0.000 (multiplicity 2)
Sn  0.000  0.000  0.500 (multiplicity 1)
As  0.500  0.500  0.000 (multiplicity 1)
Ru  0.500  0.500  0.500 (multiplicity 1)


This record from Alexandria via LeMat-Bulk describes FeAsS at its PBEsol-relaxed geometry. The functional is meta-GGA SCAN.

Properties
**Formation energy without anion corrections**: -443.8 meV per atom

Cell lengths 5.655, 5.585, 5.678 Å; angles 90.00, 112.24, 90.00 degrees
Space group P2_1/c (No. 14)
Inequivalent atoms, fractional coordinates:
Fe  0.212  0.009  0.203 (multiplicity 4)
As  0.354  0.633  0.128 (multiplicity 4)
S  0.152  0.134  0.823 (multiplicity 4)